Material: La6Sm3Hg
Method: DFT, GGA-PBE
State: optimized geometry

Cell lengths 10.8469, 5.3950, 12.0178 Å; angles 90.00, 103.09, 90.00 degrees
With the nearest neighbours (Å) after each atom.
Element x y z (fractional)
1 La 0.0516 0.2500 0.0813  1 Hg 3.31, 5 La 3.37-3.58, 3 Sm 3.45-3.65
2 La 0.1237 0.2500 0.5047  4 Sm 3.63-3.69, 8 La 3.68-3.82
3 La 0.1790 0.7500 0.7182  2 Hg 3.30, 3 La 3.66-3.68
4 La 0.2676 0.7500 0.0782  2 Hg 3.56, 4 La 3.56-3.58, 6 Sm 3.57-3.72
5 La 0.3738 0.7500 0.5062  4 Sm 3.60-3.66, 8 La 3.66-3.87
6 La 0.4328 0.2500 0.7222  1 Hg 3.34, 3 La 3.58-3.70, 2 Sm 3.62
7 La 0.5672 0.7500 0.2778  1 Hg 3.34, 3 La 3.58-3.70, 2 Sm 3.62
8 La 0.6262 0.2500 0.4938  4 Sm 3.60-3.66, 8 La 3.66-3.87
9 La 0.7324 0.2500 0.9218  2 Hg 3.56, 4 La 3.56-3.58, 6 Sm 3.57-3.72
10 La 0.8210 0.2500 0.2818  2 Hg 3.30, 3 La 3.66-3.68
11 La 0.8763 0.7500 0.4953  4 Sm 3.63-3.69, 8 La 3.68-3.82
12 La 0.9484 0.7500 0.9187  1 Hg 3.31, 5 La 3.37-3.58, 3 Sm 3.45-3.65
13 Sm 0.0754 0.7500 0.2902  1 Hg 3.35, 7 La 3.63-3.69
14 Sm 0.3220 0.2500 0.2969  9 La 3.45-3.83, 3 Sm 3.51-3.79
15 Sm 0.4827 0.2500 0.0744  1 Hg 3.28, 3 Sm 3.30-3.51, 5 La 3.57-3.62
16 Sm 0.5173 0.7500 0.9256  1 Hg 3.28, 3 Sm 3.30-3.51, 5 La 3.57-3.62
17 Sm 0.6780 0.7500 0.7031  9 La 3.45-3.83, 3 Sm 3.51-3.79
18 Sm 0.9246 0.2500 0.7098  1 Hg 3.35, 7 La 3.63-3.69
19 Hg 0.2155 0.2500 0.8802  2 Sm 3.28-3.35, 6 La 3.30-3.56
20 Hg 0.7845 0.7500 0.1198  2 Sm 3.28-3.35, 6 La 3.30-3.56

Computed properties:
The density of states at the Fermi level is 30.4 states/eV/cell. As for the uncorrected energy: -89.174 eV for the cell shown. The formation energy is -0.6 eV/f.u. Its density is 7.2 g cm⁻³.